(one)
A relaxed structure of Pm4CoAu, computed with GGA-PBE.

Structure (CIF):
```
data_Pm4CoAu
_chemical_formula_sum 'Pm16 Co4 Au4'
_symmetry_space_group_name_H-M 'C 1 2/c 1'
_symmetry_Int_Tables_number 15
_cell_length_a 8.7894
_cell_length_b 13.8127
_cell_length_c 6.2228
_cell_angle_alpha 90.00
_cell_angle_beta 119.57
_cell_angle_gamma 90.00
loop_
_symmetry_equiv_pos_as_xyz
'x,y,z'
'-x,-y,-z'
'-x,y,-z+1/2'
'x,-y,z+1/2'
'x+1/2,y+1/2,z'
'-x+1/2,-y+1/2,-z'
'-x+1/2,y+1/2,-z+1/2'
'x+1/2,-y+1/2,z+1/2'
loop_
_atom_site_label
_atom_site_type_symbol
_atom_site_fract_x
_atom_site_fract_y
_atom_site_fract_z
Pm1 Pm 0.1204 0.1836 0.0893
Pm2 Pm 0.2244 0.4365 0.3130
Co1 Co 0.0000 0.0045 0.2500
Au1 Au 0.0000 0.3736 0.7500
```

Values from the calculation:
magnetization: 0.00 μB/cell
DOS at the Fermi energy: 7.155 states/eV/f.u.

(two)
A relaxed structure of Pm4CoAu, computed with GGA-PBE.

Structure (CIF):
```
data_Pm4CoAu
_chemical_formula_sum 'Pm4 Co1 Au1'
_symmetry_space_group_name_H-M 'P 1 2/m 1'
_symmetry_Int_Tables_number 10
_cell_length_a 6.2572
_cell_length_b 4.0870
_cell_length_c 7.7052
_cell_angle_alpha 90.00
_cell_angle_beta 112.67
_cell_angle_gamma 90.00
loop_
_symmetry_equiv_pos_as_xyz
'x,y,z'
'-x,-y,-z'
'-x,y,-z'
'x,-y,z'
loop_
_atom_site_label
_atom_site_type_symbol
_atom_site_fract_x
_atom_site_fract_y
_atom_site_fract_z
Pm1 Pm 0.2461 0.0000 0.2731
Pm2 Pm 0.2501 0.5000 0.7111
Co1 Co 0.5000 0.5000 0.5000
Au1 Au 0.5000 0.0000 0.0000
```

Values from the calculation:
magnetization: 0.00 μB/cell
DOS at the Fermi energy: 5.143 states/eV/f.u.

Energies in meV per atom, measured from the most stable structure: (one) 0; (two) 51.

(one)
A relaxed structure of CoPtAu2, computed with GGA-PBE.

Structure (CIF):
```
data_CoPtAu2
_chemical_formula_sum 'Co3 Pt3 Au6'
_symmetry_space_group_name_H-M 'R -3 m'
_symmetry_Int_Tables_number 166
_symmetry_space_group_name_Hall '-R 3 2"'
_cell_length_a 2.8208
_cell_length_b 2.8208
_cell_length_c 27.4926
_cell_angle_alpha 90.00
_cell_angle_beta 90.00
_cell_angle_gamma 120.00
loop_
_atom_site_label
_atom_site_type_symbol
_atom_site_fract_x
_atom_site_fract_y
_atom_site_fract_z
Co1 Co 0.0000 0.0000 0.0000
Pt1 Pt 0.0000 0.0000 0.5000
Au1 Au 0.0000 0.0000 0.2547
```

Values from the calculation:
magnetization: 5.14 μB/cell
DOS at the Fermi energy: 2.381 states/eV/f.u.

(two)
A relaxed structure of CoPtAu2, computed with GGA-PBE.

Structure (CIF):
```
data_CoPtAu2
_chemical_formula_sum 'Co1 Pt1 Au2'
_symmetry_space_group_name_H-M 'P 4/m m m'
_symmetry_Int_Tables_number 123
_symmetry_space_group_name_Hall '-P 4 2'
_cell_length_a 2.8439
_cell_length_b 2.8439
_cell_length_c 7.7866
_cell_angle_alpha 90.00
_cell_angle_beta 90.00
_cell_angle_gamma 90.00
loop_
_atom_site_label
_atom_site_type_symbol
_atom_site_fract_x
_atom_site_fract_y
_atom_site_fract_z
Co1 Co 0.0000 0.0000 0.0000
Pt1 Pt 0.0000 0.0000 0.5000
Au1 Au 0.5000 0.5000 0.2325
```

Values from the calculation:
magnetization: 2.04 μB/cell
DOS at the Fermi energy: 3.963 states/eV/f.u.

(three)
A relaxed structure of CoPtAu2, computed with GGA-PBE.

Structure (CIF):
```
data_CoPtAu2
_chemical_formula_sum 'Co3 Pt3 Au6'
_symmetry_space_group_name_H-M 'R 3 m'
_symmetry_Int_Tables_number 160
_symmetry_space_group_name_Hall 'R 3 -2"'
_cell_length_a 2.8088
_cell_length_b 2.8088
_cell_length_c 27.9154
_cell_angle_alpha 90.00
_cell_angle_beta 90.00
_cell_angle_gamma 120.00
loop_
_atom_site_label
_atom_site_type_symbol
_atom_site_fract_x
_atom_site_fract_y
_atom_site_fract_z
Co1 Co 0.0000 0.0000 0.0000
Pt1 Pt 0.0000 0.0000 0.7395
Au1 Au 0.0000 0.0000 0.2547
Au2 Au 0.0000 0.0000 0.4953
```

Values from the calculation:
magnetization: 5.69 μB/cell
DOS at the Fermi energy: 4.011 states/eV/f.u.

Energies in meV per atom, measured from the most stable structure: (one) 63; (two) 74; (three) 0.

(one)
A relaxed structure of Co2PtAu, computed with GGA-PBE.

Structure (CIF):
```
data_Co2PtAu
_chemical_formula_sum 'Co4 Pt2 Au2'
_symmetry_space_group_name_H-M 'I -4 m 2'
_symmetry_Int_Tables_number 119
_symmetry_space_group_name_Hall 'I -4 -2'
_cell_length_a 3.8046
_cell_length_b 3.8046
_cell_length_c 7.7864
_cell_angle_alpha 90.00
_cell_angle_beta 90.00
_cell_angle_gamma 90.00
loop_
_atom_site_label
_atom_site_type_symbol
_atom_site_fract_x
_atom_site_fract_y
_atom_site_fract_z
Co1 Co 0.0000 0.0000 0.0000
Co2 Co 0.0000 0.5000 0.2500
Pt1 Pt 0.0000 0.5000 0.7500
Au1 Au 0.0000 0.0000 0.5000
```

Values from the calculation:
magnetization: 8.02 μB/cell
DOS at the Fermi energy: 5.657 states/eV/f.u.

(two)
A relaxed structure of Co2PtAu, computed with GGA-PBE.

Structure (CIF):
```
data_Co2PtAu
_chemical_formula_sum 'Co2 Pt1 Au1'
_symmetry_space_group_name_H-M 'P 1 m 1'
_symmetry_Int_Tables_number 6
_cell_length_a 2.7498
_cell_length_b 4.0934
_cell_length_c 5.2024
_cell_angle_alpha 90.00
_cell_angle_beta 105.18
_cell_angle_gamma 90.00
loop_
_symmetry_equiv_pos_as_xyz
'x,y,z'
'x,-y,z'
loop_
_atom_site_label
_atom_site_type_symbol
_atom_site_fract_x
_atom_site_fract_y
_atom_site_fract_z
Co1 Co 0.0000 0.0000 0.0000
Co2 Co 0.1205 0.5000 0.2411
Pt1 Pt 0.7257 0.0000 0.4528
Au1 Au 0.3869 0.5000 0.7722
```

Values from the calculation:
magnetization: 4.07 μB/cell
DOS at the Fermi energy: 5.459 states/eV/f.u.

(three)
A relaxed structure of Co2PtAu, computed with GGA-PBE.

Structure (CIF):
```
data_Co2PtAu
_chemical_formula_sum 'Co2 Pt1 Au1'
_symmetry_space_group_name_H-M 'P 4/m m m'
_symmetry_Int_Tables_number 123
_symmetry_space_group_name_Hall '-P 4 2'
_cell_length_a 4.5076
_cell_length_b 4.5076
_cell_length_c 2.7859
_cell_angle_alpha 90.00
_cell_angle_beta 90.00
_cell_angle_gamma 90.00
loop_
_atom_site_label
_atom_site_type_symbol
_atom_site_fract_x
_atom_site_fract_y
_atom_site_fract_z
Co1 Co 0.0000 0.5000 0.0000
Pt1 Pt 0.0000 0.0000 0.5000
Au1 Au 0.5000 0.5000 0.5000
```

Values from the calculation:
magnetization: 3.99 μB/cell
DOS at the Fermi energy: 5.928 states/eV/f.u.

(four)
A relaxed structure of Co2PtAu, computed with GGA-PBE.

Structure (CIF):
```
data_Co2PtAu
_chemical_formula_sum 'Co8 Pt4 Au4'
_symmetry_space_group_name_H-M 'I -4 2 d'
_symmetry_Int_Tables_number 122
_symmetry_space_group_name_Hall 'I -4 2bw'
_cell_length_a 6.8788
_cell_length_b 6.8788
_cell_length_c 5.2924
_cell_angle_alpha 90.00
_cell_angle_beta 90.00
_cell_angle_gamma 90.00
loop_
_atom_site_label
_atom_site_type_symbol
_atom_site_fract_x
_atom_site_fract_y
_atom_site_fract_z
Co1 Co 0.2351 0.2500 0.1250
Pt1 Pt 0.0000 0.0000 0.0000
Au1 Au 0.0000 0.0000 0.5000
```

Values from the calculation:
magnetization: 17.47 μB/cell
DOS at the Fermi energy: 6.594 states/eV/f.u.

Energies in meV per atom, measured from the most stable structure: (one) 13; (two) 0; (three) 70; (four) 390.

(one)
A relaxed structure of Co2PtAu, computed with GGA-PBE.

Structure (CIF):
```
data_Co2PtAu
_chemical_formula_sum 'Co2 Pt1 Au1'
_symmetry_space_group_name_H-M 'P m m 2'
_symmetry_Int_Tables_number 25
_cell_length_a 2.7493
_cell_length_b 3.4819
_cell_length_c 5.9219
_cell_angle_alpha 90.00
_cell_angle_beta 90.00
_cell_angle_gamma 90.00
loop_
_symmetry_equiv_pos_as_xyz
'x,y,z'
'-x,-y,z'
'-x,y,z'
'x,-y,z'
loop_
_atom_site_label
_atom_site_type_symbol
_atom_site_fract_x
_atom_site_fract_y
_atom_site_fract_z
Co1 Co 0.0000 0.0000 0.0000
Co2 Co 0.5000 0.5000 0.1888
Pt1 Pt 0.0000 0.0000 0.4297
Au1 Au 0.5000 0.5000 0.7357
```

Values from the calculation:
magnetization: 3.99 μB/cell
DOS at the Fermi energy: 5.034 states/eV/f.u.

(two)
A relaxed structure of Co2PtAu, computed with GGA-PBE.

Structure (CIF):
```
data_Co2PtAu
_chemical_formula_sum 'Co6 Pt3 Au3'
_symmetry_space_group_name_H-M 'R -3 m'
_symmetry_Int_Tables_number 166
_symmetry_space_group_name_Hall '-R 3 2"'
_cell_length_a 2.7283
_cell_length_b 2.7283
_cell_length_c 26.4423
_cell_angle_alpha 90.00
_cell_angle_beta 90.00
_cell_angle_gamma 120.00
loop_
_atom_site_label
_atom_site_type_symbol
_atom_site_fract_x
_atom_site_fract_y
_atom_site_fract_z
Co1 Co 0.0000 0.0000 0.2473
Pt1 Pt 0.0000 0.0000 0.5000
Au1 Au 0.0000 0.0000 0.0000
```

Values from the calculation:
magnetization: 11.09 μB/cell
DOS at the Fermi energy: 4.470 states/eV/f.u.

Energies in meV per atom, measured from the most stable structure: (one) 0; (two) 51.

(one)
A relaxed structure of Co2PtAu, computed with GGA-PBE.

Structure (CIF):
```
data_Co2PtAu
_chemical_formula_sum 'Co6 Pt3 Au3'
_symmetry_space_group_name_H-M 'R 3 m'
_symmetry_Int_Tables_number 160
_symmetry_space_group_name_Hall 'R 3 -2"'
_cell_length_a 2.7236
_cell_length_b 2.7236
_cell_length_c 26.5305
_cell_angle_alpha 90.00
_cell_angle_beta 90.00
_cell_angle_gamma 120.00
loop_
_atom_site_label
_atom_site_type_symbol
_atom_site_fract_x
_atom_site_fract_y
_atom_site_fract_z
Co1 Co 0.0000 0.0000 0.0000
Co2 Co 0.0000 0.0000 0.2637
Pt1 Pt 0.0000 0.0000 0.7473
Au1 Au 0.0000 0.0000 0.5103
```

Values from the calculation:
magnetization: 10.91 μB/cell
DOS at the Fermi energy: 2.983 states/eV/f.u.

(two)
A relaxed structure of Co2PtAu, computed with GGA-PBE.

Structure (CIF):
```
data_Co2PtAu
_chemical_formula_sum 'Co2 Pt1 Au1'
_symmetry_space_group_name_H-M 'P 4 m m'
_symmetry_Int_Tables_number 99
_cell_length_a 2.7449
_cell_length_b 2.7449
_cell_length_c 7.4430
_cell_angle_alpha 90.00
_cell_angle_beta 90.00
_cell_angle_gamma 90.00
loop_
_symmetry_equiv_pos_as_xyz
'x,y,z'
'-y,x,z'
'-x,-y,z'
'y,-x,z'
'-x,y,z'
'y,x,z'
'x,-y,z'
'-y,-x,z'
loop_
_atom_site_label
_atom_site_type_symbol
_atom_site_fract_x
_atom_site_fract_y
_atom_site_fract_z
Co1 Co 0.0000 0.0000 0.0000
Co2 Co 0.5000 0.5000 0.1960
Pt1 Pt 0.0000 0.0000 0.4382
Au1 Au 0.5000 0.5000 0.7365
```

Values from the calculation:
magnetization: 3.71 μB/cell
DOS at the Fermi energy: 4.211 states/eV/f.u.

(three)
A relaxed structure of Co2PtAu, computed with GGA-PBE.

Structure (CIF):
```
data_Co2PtAu
_chemical_formula_sum 'Co4 Pt2 Au2'
_symmetry_space_group_name_H-M 'I m m 2'
_symmetry_Int_Tables_number 44
_cell_length_a 2.7818
_cell_length_b 4.4896
_cell_length_c 9.0638
_cell_angle_alpha 90.00
_cell_angle_beta 90.00
_cell_angle_gamma 90.00
loop_
_symmetry_equiv_pos_as_xyz
'x,y,z'
'-x,-y,z'
'-x,y,z'
'x,-y,z'
'x+1/2,y+1/2,z+1/2'
'-x+1/2,-y+1/2,z+1/2'
'-x+1/2,y+1/2,z+1/2'
'x+1/2,-y+1/2,z+1/2'
loop_
_atom_site_label
_atom_site_type_symbol
_atom_site_fract_x
_atom_site_fract_y
_atom_site_fract_z
Co1 Co 0.0000 0.0000 0.0000
Co2 Co 0.0000 0.5000 0.2921
Pt1 Pt 0.0000 0.5000 0.7470
Au1 Au 0.0000 0.0000 0.5297
```

Values from the calculation:
magnetization: 8.00 μB/cell
DOS at the Fermi energy: 5.374 states/eV/f.u.

(four)
A relaxed structure of Co2PtAu, computed with GGA-PBE.

Structure (CIF):
```
data_Co2PtAu
_chemical_formula_sum 'Co4 Pt2 Au2'
_symmetry_space_group_name_H-M 'I 4/m m m'
_symmetry_Int_Tables_number 139
_symmetry_space_group_name_Hall '-I 4 2'
_cell_length_a 3.8687
_cell_length_b 3.8687
_cell_length_c 7.5136
_cell_angle_alpha 90.00
_cell_angle_beta 90.00
_cell_angle_gamma 90.00
loop_
_atom_site_label
_atom_site_type_symbol
_atom_site_fract_x
_atom_site_fract_y
_atom_site_fract_z
Co1 Co 0.0000 0.5000 0.2500
Pt1 Pt 0.0000 0.0000 0.0000
Au1 Au 0.0000 0.0000 0.5000
```

Values from the calculation:
magnetization: 8.15 μB/cell
DOS at the Fermi energy: 6.399 states/eV/f.u.

Energies in meV per atom, measured from the most stable structure: (one) 23; (two) 0; (three) 72; (four) 55.